(1)
Entry from Alexandria via LeMat-Bulk: a geometry-optimized CeGeBi structure (PBE-GGA).

Calculated values
D(E_F): 5.7 states/eV/f.u.
final energy: -64.83 eV per cell
energy relative to the lowest polymorph listed for this composition: 0 meV per atom

Geometry as CIF:
```
data_CeGeBi
_chemical_formula_sum 'Ce4 Ge4 Bi4'
_cell_length_a 4.545
_cell_length_b 16.786
_cell_length_c 4.238
_cell_angle_alpha 90.00
_cell_angle_beta 90.00
_cell_angle_gamma 90.00
_space_group_name_H-M_alt 'C m c m'
_space_group_IT_number 63
_space_group_name_Hall '-C 2c 2'
loop_
_atom_site_label
_atom_site_type_symbol
_atom_site_fract_x
_atom_site_fract_y
_atom_site_fract_z
Ce1 Ce 0.000 0.094 0.250
Ge1 Ge 0.000 0.451 0.250
Bi1 Bi 0.000 0.252 0.750
```

=====

(2)
Entry from Alexandria via LeMat-Bulk: a geometry-optimized CeSmCdOs structure (PBE-GGA).

Calculated values
D(E_F): 4.6 states/eV/f.u.
final energy: -92.45 eV per cell
energy relative to the lowest polymorph listed for this composition: 128 meV per atom

Geometry as CIF:
```
data_CeSmCdOs
_chemical_formula_sum 'Ce4 Sm4 Cd4 Os4'
_cell_length_a 7.232
_cell_length_b 7.232
_cell_length_c 7.232
_cell_angle_alpha 90.00
_cell_angle_beta 90.00
_cell_angle_gamma 90.00
_space_group_name_H-M_alt 'F -4 3 m'
_space_group_IT_number 216
_space_group_name_Hall 'F -4 2 3'
loop_
_atom_site_label
_atom_site_type_symbol
_atom_site_fract_x
_atom_site_fract_y
_atom_site_fract_z
Ce1 Ce 0.000 0.000 0.000
Sm1 Sm 0.000 0.000 0.500
Cd1 Cd 0.250 0.250 0.750
Os1 Os 0.250 0.250 0.250
```